DFT (PBE) results for CsKCa after structural relaxation.

POSCAR file:
```
CsKCa
1.0
-2.255 1.361 -3.583
-1.713 -3.152 2.640
-10.390 16.314 12.736
K Ca Cs
2 2 2
Cartesian
-1.766 0.125 -1.601
-6.775 6.782 6.840
-5.363 5.813 2.824
-8.527 10.779 6.701
-10.052 11.921 10.854
-3.503 1.639 2.827
```

Summary:
**Total DFT energy (no corrections)**: -1.13 eV/atom
**DFT formation energy**: 190 meV per atom
**Total magnetic moment**: 0.00 μB per cell